# Ca3La3CuS8, optimized geometry, DFT GGA-PBE
data_Ca3La3CuS8
_symmetry_space_group_name_H-M 'C 1 2/m 1'
_symmetry_Int_Tables_number 12
_symmetry_space_group_name_Hall '-C 2y'
_cell_length_a 13.987
_cell_length_b 8.225
_cell_length_c 8.147
_cell_angle_alpha 90.00
_cell_angle_beta 125.58
_cell_angle_gamma 90.00
loop_
_atom_site_label
_atom_site_fract_x
_atom_site_fract_y
_atom_site_fract_z
Ca1 0.000 0.000 0.000
Ca2 0.250 0.250 0.500
La1 0.000 0.500 0.500
La2 0.250 0.250 0.000
Cu1 0.000 0.000 0.500
S1 0.000 0.255 0.247
S2 0.213 0.000 0.712
S3 0.246 0.000 0.251
# Uncorrected formation energy = -1.81 eV per atom
# Crystal system = monoclinic
# VASP energy = -5.669 eV per atom
# V = 25.4 Å³ per atom

***

# CaLaCuSb, optimized geometry, DFT GGA-PBE
data_CaLaCuSb
_symmetry_space_group_name_H-M 'F -4 3 m'
_symmetry_Int_Tables_number 216
_symmetry_space_group_name_Hall 'F -4 2 3'
_cell_length_a 7.549
_cell_length_b 7.549
_cell_length_c 7.549
_cell_angle_alpha 90.00
_cell_angle_beta 90.00
_cell_angle_gamma 90.00
loop_
_atom_site_label
_atom_site_fract_x
_atom_site_fract_y
_atom_site_fract_z
Ca1 0.000 0.000 0.000
La1 0.000 0.000 0.500
Cu1 0.250 0.250 0.250
Sb1 0.250 0.250 0.750
# Uncorrected formation energy = -0.54 eV per atom
# Crystal system = cubic
# VASP energy = -4.329 eV per atom
# V = 26.9 Å³ per atom

***

# Ca2LaCuSe4, optimized geometry, DFT GGA-PBE
data_Ca2LaCuSe4
_symmetry_space_group_name_H-M 'C m c m'
_symmetry_Int_Tables_number 63
_symmetry_space_group_name_Hall '-C 2c 2'
_cell_length_a 4.131
_cell_length_b 13.519
_cell_length_c 14.457
_cell_angle_alpha 90.00
_cell_angle_beta 90.00
_cell_angle_gamma 90.00
loop_
_atom_site_label
_atom_site_fract_x
_atom_site_fract_y
_atom_site_fract_z
Ca1 0.000 0.131 0.061
La1 0.000 0.384 0.250
Cu1 0.000 0.347 0.750
Se1 0.000 0.049 0.250
Se2 0.000 0.222 0.626
Se3 0.000 0.500 0.000
# Uncorrected formation energy = -1.65 eV per atom
# Crystal system = orthorhombic
# VASP energy = -5.022 eV per atom
# V = 25.2 Å³ per atom

***

# CaLaCuSi, optimized geometry, DFT GGA-PBE
data_CaLaCuSi
_symmetry_space_group_name_H-M 'F -4 3 m'
_symmetry_Int_Tables_number 216
_symmetry_space_group_name_Hall 'F -4 2 3'
_cell_length_a 7.264
_cell_length_b 7.264
_cell_length_c 7.264
_cell_angle_alpha 90.00
_cell_angle_beta 90.00
_cell_angle_gamma 90.00
loop_
_atom_site_label
_atom_site_fract_x
_atom_site_fract_y
_atom_site_fract_z
Ca1 0.000 0.000 0.000
La1 0.000 0.000 0.500
Cu1 0.250 0.250 0.750
Si1 0.250 0.250 0.250
# Uncorrected formation energy = -0.36 eV per atom
# Crystal system = cubic
# VASP energy = -4.476 eV per atom
# V = 24.0 Å³ per atom

***

# CaLa2Cu2Si2, optimized geometry, DFT GGA-PBE
data_CaLa2Cu2Si2
_symmetry_space_group_name_H-M 'R -3 m'
_symmetry_Int_Tables_number 166
_symmetry_space_group_name_Hall '-R 3 2"'
_cell_length_a 4.2885
_cell_length_b 4.2885
_cell_length_c 29.5603
_cell_angle_alpha 90.00
_cell_angle_beta 90.00
_cell_angle_gamma 120.00
loop_
_atom_site_label
_atom_site_fract_x
_atom_site_fract_y
_atom_site_fract_z
Ca1 0.0000 0.0000 0.0000
La1 0.0000 0.0000 0.1267
Cu1 0.0000 0.0000 0.3982
Si1 0.0000 0.0000 0.2648
# Uncorrected formation energy = -0.42 eV per atom
# Crystal system = trigonal
# VASP energy = -4.835 eV per atom
# V = 22.4 Å³ per atom

***

# SrCaLaCu2, optimized geometry, DFT GGA-PBE
data_SrCaLaCu2
_symmetry_space_group_name_H-M 'P 4/m m m'
_symmetry_Int_Tables_number 123
_symmetry_space_group_name_Hall '-P 4 2'
_cell_length_a 5.165
_cell_length_b 5.165
_cell_length_c 5.658
_cell_angle_alpha 90.00
_cell_angle_beta 90.00
_cell_angle_gamma 90.00
loop_
_atom_site_label
_atom_site_fract_x
_atom_site_fract_y
_atom_site_fract_z
Sr1 0.000 0.000 0.000
Ca1 0.000 0.000 0.500
La1 0.500 0.500 0.000
Cu1 0.000 0.500 0.500
# Crystal system = tetragonal
# DFT formation energy = 0.732 eV/atom
# VASP energy = -2.629 eV per atom
# V = 30.2 Å³ per atom

***

# Sr2CaLaCu, optimized geometry, DFT GGA-PBE
data_Sr2CaLaCu
_symmetry_space_group_name_H-M 'P 4/m m m'
_symmetry_Int_Tables_number 123
_symmetry_space_group_name_Hall '-P 4 2'
_cell_length_a 6.094
_cell_length_b 6.094
_cell_length_c 5.661
_cell_angle_alpha 90.00
_cell_angle_beta 90.00
_cell_angle_gamma 90.00
loop_
_atom_site_label
_atom_site_fract_x
_atom_site_fract_y
_atom_site_fract_z
Sr1 0.000 0.500 0.000
Ca1 0.000 0.000 0.500
La1 0.500 0.500 0.500
Cu1 0.500 0.500 0.000
# Crystal system = tetragonal
# DFT formation energy = 0.078 eV/atom
# VASP energy = -2.800 eV per atom
# V = 42.0 Å³ per atom

***

# Ca2LaTlCu, optimized geometry, DFT GGA-PBE
data_Ca2LaTlCu
_symmetry_space_group_name_H-M 'P 4/m m m'
_symmetry_Int_Tables_number 123
_symmetry_space_group_name_Hall '-P 4 2'
_cell_length_a 5.578
_cell_length_b 5.578
_cell_length_c 5.415
_cell_angle_alpha 90.00
_cell_angle_beta 90.00
_cell_angle_gamma 90.00
loop_
_atom_site_label
_atom_site_fract_x
_atom_site_fract_y
_atom_site_fract_z
Ca1 0.000 0.500 0.000
La1 0.000 0.000 0.500
Tl1 0.500 0.500 0.500
Cu1 0.000 0.000 0.000
# Crystal system = tetragonal
# DFT formation energy = -0.045 eV/atom
# VASP energy = -3.124 eV per atom
# V = 33.7 Å³ per atom

***

# CaLaY2Cu, optimized geometry, DFT GGA-PBE
data_CaLaY2Cu
_symmetry_space_group_name_H-M 'P 4/m m m'
_symmetry_Int_Tables_number 123
_symmetry_space_group_name_Hall '-P 4 2'
_cell_length_a 5.591
_cell_length_b 5.591
_cell_length_c 5.497
_cell_angle_alpha 90.00
_cell_angle_beta 90.00
_cell_angle_gamma 90.00
loop_
_atom_site_label
_atom_site_fract_x
_atom_site_fract_y
_atom_site_fract_z
Ca1 0.000 0.000 0.000
La1 0.500 0.500 0.000
Y1 0.000 0.500 0.500
Cu1 0.500 0.500 0.500
# Crystal system = tetragonal
# DFT formation energy = 0.103 eV/atom
# VASP energy = -4.688 eV per atom
# V = 34.4 Å³ per atom

***

# LiCaCu2, optimized geometry, DFT GGA-PBE
data_LiCaCu2
_symmetry_space_group_name_H-M 'C m m m'
_symmetry_Int_Tables_number 65
_symmetry_space_group_name_Hall '-C 2 2'
_cell_length_a 6.428
_cell_length_b 6.442
_cell_length_c 3.623
_cell_angle_alpha 90.00
_cell_angle_beta 90.00
_cell_angle_gamma 90.00
loop_
_atom_site_label
_atom_site_fract_x
_atom_site_fract_y
_atom_site_fract_z
Li1 0.000 0.000 0.000
Ca1 0.000 0.500 0.000
Cu1 0.250 0.250 0.500
# Crystal system = orthorhombic
# DFT formation energy = 0.068 eV/atom
# VASP energy = -2.959 eV per atom
# Energy above the lowest structure with this stoichiometry = 133 meV per atom
# V = 18.8 Å³ per atom

***

# Li10CaCu3, optimized geometry, DFT GGA-PBE
data_Li10CaCu3
_symmetry_space_group_name_H-M 'F m -3 m'
_symmetry_Int_Tables_number 225
_symmetry_space_group_name_Hall '-F 4 2 3'
_cell_length_a 13.059
_cell_length_b 13.059
_cell_length_c 13.059
_cell_angle_alpha 90.00
_cell_angle_beta 90.00
_cell_angle_gamma 90.00
loop_
_atom_site_label
_atom_site_fract_x
_atom_site_fract_y
_atom_site_fract_z
Li1 0.000 0.171 0.171
Li2 0.110 0.110 0.390
Ca1 0.250 0.250 0.250
Cu1 0.000 0.000 0.268
# Crystal system = cubic
# DFT formation energy = 0.089 eV/atom
# VASP energy = -2.299 eV per atom
# V = 19.9 Å³ per atom